Entry 1:
# TbNdTl6 | Alexandria via LeMat-Bulk | PBE | relaxed
data_TbNdTl6
_space_group_name_H-M_alt 'P 4/m m m'
_space_group_IT_number 123
_space_group_name_Hall '-P 4 2'
_cell_length_a 4.8062
_cell_length_b 4.8062
_cell_length_c 9.6068
_cell_angle_alpha 90.00
_cell_angle_beta 90.00
_cell_angle_gamma 90.00
loop_
_atom_site_label
_atom_site_type_symbol
_atom_site_fract_x
_atom_site_fract_y
_atom_site_fract_z
Tb1 Tb 0.0000 0.0000 0.0000
Nd1 Nd 0.0000 0.0000 0.5000
Tl1 Tl 0.0000 0.5000 0.2467
Tl2 Tl 0.5000 0.5000 0.0000
Tl3 Tl 0.5000 0.5000 0.5000
# Total DFT energy (no corrections) in eV per atom: -3.2340
# E_form in eV per atom: -0.28

---

Entry 2:
# TbNdTl | Alexandria via LeMat-Bulk | PBE | relaxed
data_TbNdTl
_space_group_name_H-M_alt 'I 4 m m'
_space_group_IT_number 107
_space_group_name_Hall 'I 4 -2'
_cell_length_a 3.6771
_cell_length_b 3.6771
_cell_length_c 13.7178
_cell_angle_alpha 90.00
_cell_angle_beta 90.00
_cell_angle_gamma 90.00
loop_
_atom_site_label
_atom_site_type_symbol
_atom_site_fract_x
_atom_site_fract_y
_atom_site_fract_z
Tb1 Tb 0.0000 0.0000 0.0000
Nd1 Nd 0.0000 0.0000 0.3110
Tl1 Tl 0.0000 0.0000 0.6488
# Total DFT energy (no corrections) in eV per atom: -4.1424
# E_form in eV per atom: -0.22

---

Entry 3:
# TbNd5Tl8 | Alexandria via LeMat-Bulk | PBE | relaxed
data_TbNd5Tl8
_space_group_name_H-M_alt 'I -4'
_space_group_IT_number 82
_space_group_name_Hall 'I -4'
_cell_length_a 9.5261
_cell_length_b 9.5261
_cell_length_c 9.4031
_cell_angle_alpha 90.00
_cell_angle_beta 90.00
_cell_angle_gamma 90.00
loop_
_atom_site_label
_atom_site_type_symbol
_atom_site_fract_x
_atom_site_fract_y
_atom_site_fract_z
Tb1 Tb 0.0000 0.0000 0.0000
Nd1 Nd 0.0000 0.5000 0.2500
Nd2 Nd 0.1204 0.2559 0.6238
Tl1 Tl 0.0774 0.1662 0.2880
Tl2 Tl 0.0862 0.3236 0.9610
# Total DFT energy (no corrections) in eV per atom: -3.6815
# E_form in eV per atom: -0.30

---

Entry 4:
# Tb4Nd9Tl11 | Alexandria via LeMat-Bulk | PBE | relaxed
data_Tb4Nd9Tl11
_space_group_name_H-M_alt 'C m m m'
_space_group_IT_number 65
_space_group_name_Hall '-C 2 2'
_cell_length_a 18.1982
_cell_length_b 21.7103
_cell_length_c 3.5819
_cell_angle_alpha 90.00
_cell_angle_beta 90.00
_cell_angle_gamma 90.00
loop_
_atom_site_label
_atom_site_type_symbol
_atom_site_fract_x
_atom_site_fract_y
_atom_site_fract_z
Tb1 Tb 0.1516 0.0841 0.0000
Nd1 Nd 0.0000 0.0000 0.0000
Nd2 Nd 0.1171 0.2413 0.0000
Nd3 Nd 0.1208 0.4130 0.0000
Tl1 Tl 0.0000 0.1356 0.5000
Tl2 Tl 0.0000 0.3300 0.5000
Tl3 Tl 0.0000 0.5000 0.5000
Tl4 Tl 0.2387 0.5000 0.5000
Tl5 Tl 0.2438 0.3259 0.5000
# Total DFT energy (no corrections) in eV per atom: -3.9487
# E_form in eV per atom: -0.30

---

Entry 5:
# TbNd8Tl6 | Alexandria via LeMat-Bulk | PBE | relaxed
data_TbNd8Tl6
_space_group_name_H-M_alt 'R -3'
_space_group_IT_number 148
_space_group_name_Hall '-R 3'
_cell_length_a 9.3349
_cell_length_b 9.3349
_cell_length_c 19.9562
_cell_angle_alpha 90.00
_cell_angle_beta 90.00
_cell_angle_gamma 120.00
loop_
_atom_site_label
_atom_site_type_symbol
_atom_site_fract_x
_atom_site_fract_y
_atom_site_fract_z
Tb1 Tb 0.0000 0.0000 0.0000
Nd1 Nd 0.0000 0.0000 0.3344
Nd2 Nd 0.0007 0.3362 0.8878
Tl1 Tl 0.9996 0.3272 0.0580
# Total DFT energy (no corrections) in eV per atom: -3.9649
# E_form in eV per atom: -0.17

---

Entry 6:
# Tb2Nd4Tl | Alexandria via LeMat-Bulk | PBE | relaxed
data_Tb2Nd4Tl
_space_group_name_H-M_alt 'C m m m'
_space_group_IT_number 65
_space_group_name_Hall '-C 2 2'
_cell_length_a 6.2481
_cell_length_b 12.6077
_cell_length_c 6.1157
_cell_angle_alpha 90.00
_cell_angle_beta 90.00
_cell_angle_gamma 90.00
loop_
_atom_site_label
_atom_site_type_symbol
_atom_site_fract_x
_atom_site_fract_y
_atom_site_fract_z
Tb1 Tb 0.0000 0.1171 0.0000
Nd1 Nd 0.0000 0.1682 0.5000
Nd2 Nd 0.0000 0.3656 0.0000
Tl1 Tl 0.0000 0.5000 0.5000
# Total DFT energy (no corrections) in eV per atom: -3.9759
# E_form in eV per atom: 0.41

---

Entry 7:
# Tb4Nd5Tl2 | Alexandria via LeMat-Bulk | PBE | relaxed
data_Tb4Nd5Tl2
_space_group_name_H-M_alt 'P 1 2/m 1'
_space_group_IT_number 10
_space_group_name_Hall '-P 2y'
_cell_length_a 8.9163
_cell_length_b 3.6144
_cell_length_c 11.2338
_cell_angle_alpha 90.00
_cell_angle_beta 93.99
_cell_angle_gamma 90.00
loop_
_atom_site_label
_atom_site_type_symbol
_atom_site_fract_x
_atom_site_fract_y
_atom_site_fract_z
Tb1 Tb 0.1514 0.0000 0.3925
Tb2 Tb 0.2164 0.0000 0.9465
Nd1 Nd 0.2003 0.5000 0.6666
Nd2 Nd 0.4597 0.5000 0.1648
Nd3 Nd 0.5000 0.5000 0.5000
Tl1 Tl 0.0856 0.5000 0.1574
# Total DFT energy (no corrections) in eV per atom: -4.3126
# E_form in eV per atom: -0.03

---

Entry 8:
# TbNd4Tl4 | Alexandria via LeMat-Bulk | PBE | relaxed
data_TbNd4Tl4
_space_group_name_H-M_alt 'P 42/n'
_space_group_IT_number 86
_cell_length_a 9.3743
_cell_length_b 9.3743
_cell_length_c 6.2799
_cell_angle_alpha 90.00
_cell_angle_beta 90.00
_cell_angle_gamma 90.00
loop_
_space_group_symop_operation_xyz
'x,y,z'
'-x,-y,-z'
'-y,x+1/2,z+1/2'
'y,-x+1/2,-z+1/2'
'-x+1/2,-y+1/2,z'
'x+1/2,y+1/2,-z'
'y+1/2,-x,z+1/2'
'-y+1/2,x,-z+1/2'
loop_
_atom_site_label
_atom_site_type_symbol
_atom_site_fract_x
_atom_site_fract_y
_atom_site_fract_z
Tb1 Tb 0.2500 0.2500 0.2500
Nd1 Nd 0.0807 0.8247 0.6193
Tl1 Tl 0.0456 0.1501 0.8706
# Total DFT energy (no corrections) in eV per atom: -3.8842
# E_form in eV per atom: -0.20

---

Entry 9:
# Tb5NdTl5 | Alexandria via LeMat-Bulk | PBE | relaxed
data_Tb5NdTl5
_space_group_name_H-M_alt 'C 1 2/m 1'
_space_group_IT_number 12
_space_group_name_Hall '-C 2y'
_cell_length_a 16.0993
_cell_length_b 6.0147
_cell_length_c 7.1950
_cell_angle_alpha 90.00
_cell_angle_beta 98.90
_cell_angle_gamma 90.00
loop_
_atom_site_label
_atom_site_type_symbol
_atom_site_fract_x
_atom_site_fract_y
_atom_site_fract_z
Tb1 Tb 0.0000 0.0000 0.0000
Tb2 Tb 0.1368 0.5000 0.9003
Tb3 Tb 0.1781 0.5000 0.4102
Nd1 Nd 0.0000 0.0000 0.5000
Tl1 Tl 0.0000 0.5000 0.5000
Tl2 Tl 0.1703 0.0000 0.7956
Tl3 Tl 0.1755 0.0000 0.2384
# Total DFT energy (no corrections) in eV per atom: -3.7229
# E_form in eV per atom: -0.11

---

Entry 10:
# TbNd2Tl4 | Alexandria via LeMat-Bulk | PBE | relaxed
data_TbNd2Tl4
_space_group_name_H-M_alt 'I 4/m m m'
_space_group_IT_number 139
_space_group_name_Hall '-I 4 2'
_cell_length_a 7.4564
_cell_length_b 7.4564
_cell_length_c 8.0446
_cell_angle_alpha 90.00
_cell_angle_beta 90.00
_cell_angle_gamma 90.00
loop_
_atom_site_label
_atom_site_type_symbol
_atom_site_fract_x
_atom_site_fract_y
_atom_site_fract_z
Tb1 Tb 0.0000 0.0000 0.0000
Nd1 Nd 0.0000 0.5000 0.0000
Tl1 Tl 0.2500 0.2500 0.2500
# Total DFT energy (no corrections) in eV per atom: -3.6082
# E_form in eV per atom: -0.23

---

Entry 11:
# Tb2Nd5Tl | Alexandria via LeMat-Bulk | PBE | relaxed
data_Tb2Nd5Tl
_space_group_name_H-M_alt 'P b a m'
_space_group_IT_number 55
_space_group_name_Hall '-P 2 2ab'
_cell_length_a 7.2008
_cell_length_b 14.4431
_cell_length_c 5.0322
_cell_angle_alpha 90.00
_cell_angle_beta 90.00
_cell_angle_gamma 90.00
loop_
_atom_site_label
_atom_site_type_symbol
_atom_site_fract_x
_atom_site_fract_y
_atom_site_fract_z
Tb1 Tb 0.2470 0.1228 0.0000
Nd1 Nd 0.0000 0.0000 0.5000
Nd2 Nd 0.0038 0.7398 0.5000
Nd3 Nd 0.2486 0.8744 0.0000
Tl1 Tl 0.0000 0.5000 0.5000
# Total DFT energy (no corrections) in eV per atom: -4.4833
# E_form in eV per atom: -0.05

---

Entry 12:
# Tb5NdTl6 | Alexandria via LeMat-Bulk | PBE | relaxed
data_Tb5NdTl6
_space_group_name_H-M_alt 'C 1 2/m 1'
_space_group_IT_number 12
_space_group_name_Hall '-C 2y'
_cell_length_a 9.7948
_cell_length_b 11.3594
_cell_length_c 6.6706
_cell_angle_alpha 90.00
_cell_angle_beta 102.73
_cell_angle_gamma 90.00
loop_
_atom_site_label
_atom_site_type_symbol
_atom_site_fract_x
_atom_site_fract_y
_atom_site_fract_z
Tb1 Tb 0.0000 0.0000 0.0000
Tb2 Tb 0.0000 0.1649 0.5000
Tb3 Tb 0.0000 0.3337 0.0000
Nd1 Nd 0.0000 0.5000 0.5000
Tl1 Tl 0.2484 0.0000 0.7569
Tl2 Tl 0.2480 0.1701 0.2463
# Total DFT energy (no corrections) in eV per atom: -3.7681
# E_form in eV per atom: -0.26